A geometry-optimized CaSbPdRh structure, computed with PBE.

The structure in CIF format:
```
data_CaSbPdRh
_space_group_name_H-M_alt 'P 1'
_space_group_IT_number 1
_space_group_name_Hall 'P 1'
_cell_length_a 4.7305
_cell_length_b 4.7305
_cell_length_c 4.7305
_cell_angle_alpha 60.00
_cell_angle_beta 60.00
_cell_angle_gamma 60.00
loop_
_atom_site_label
_atom_site_fract_x
_atom_site_fract_y
_atom_site_fract_z
_atom_site_occupancy
Sb1 0.0000 0.0000 0.0000 1
Ca1 0.5000 0.5000 0.5000 1
Rh1 0.2500 0.2500 0.2500 1
Pd1 0.7500 0.7500 0.7500 1
```

Summary:
* density: 8.23 Mg/m³
* uncorrected energy: -5.2280 eV per atom
* E_form (uncorrected): -561 meV per atom